# 1
First-principles (PBE) data for a relaxed structure of Cd2NiAs, as listed in Alexandria.

Lattice parameters (Å, degrees): 5.067 5.067 3.036 90.00 90.00 111.40
Fractional coordinates of all 4 atoms:
Cd1 0.000 0.500 0.000
Cd2 0.500 0.000 0.000
Ni1 0.000 0.000 0.500
As1 0.500 0.500 0.500

Crystal system: orthorhombic
Symmetry: Cmmm (65)
DFT formation energy (eV per formula unit): 0.80

# 2
First-principles (PBE) data for a relaxed structure of CdNi4As, as listed in Alexandria.

Lattice parameters (Å, degrees): 4.856 4.856 4.856 60.00 60.00 60.00
Fractional coordinates of all 6 atoms:
Cd1 0.000 0.000 0.000
Ni1 0.375 0.375 0.375
Ni2 0.375 0.375 0.874
Ni3 0.375 0.874 0.375
Ni4 0.874 0.375 0.375
As1 0.750 0.750 0.750

Crystal system: cubic
Symmetry: F-43m (216)
DFT formation energy (eV per formula unit): 0.74

# 3
First-principles (PBE) data for a relaxed structure of CdNiAs2, as listed in Alexandria.

Lattice parameters (Å, degrees): 6.759 6.759 6.759 128.16 128.16 76.37
Fractional coordinates of all 8 atoms:
Cd1 0.000 0.000 0.000
Cd2 0.750 0.250 0.500
Ni1 0.250 0.750 0.500
Ni2 0.500 0.500 0.000
As1 0.193 0.625 0.068
As2 0.375 0.443 0.568
As3 0.557 0.125 0.932
As4 0.875 0.807 0.432

Crystal system: tetragonal
Symmetry: I-42d (122)
DFT formation energy (eV per formula unit): 0.30

# 4
First-principles (PBE) data for a relaxed structure of Cd3NiAs, as listed in Alexandria.

Lattice parameters (Å, degrees): 5.201 5.201 5.201 90.00 90.00 90.00
Fractional coordinates of all 5 atoms:
Cd1 0.000 0.000 0.500
Cd2 0.000 0.500 0.000
Cd3 0.500 0.000 0.000
Ni1 0.500 0.500 0.500
As1 0.000 0.000 0.000

ΔE to the lowest computed polymorph (meV/atom): 416
Crystal system: cubic
Symmetry: Pm-3m (221)
DFT formation energy (eV per formula unit): 4.15

# 5
First-principles (PBE) data for a relaxed structure of Cd2NiAs, as listed in Alexandria.

Lattice parameters (Å, degrees): 4.191 4.191 4.109 90.00 90.00 90.00
Fractional coordinates of all 4 atoms:
Cd1 0.000 0.500 0.000
Cd2 0.500 0.000 0.000
Ni1 0.000 0.000 0.500
As1 0.500 0.500 0.500

Crystal system: tetragonal
Symmetry: P4/mmm (123)
DFT formation energy (eV per formula unit): 0.64

| no. | DOS(E_F) (states/eV/f.u.) | DFT total energy (eV per formula unit) | magnetic moment (Bohr magnetons per cell) |
| --- | --- | --- | --- |
| 1 | 1.6 | -11.5 | 0.00 |
| 2 | 8.3 | -28.0 | 0.00 |
| 3 | 2.1 | -15.7 | 0.00 |
| 4 | 6.5 | -9.0 | 0.00 |
| 5 | 1.9 | -11.6 | 0.00 |